Record 1
A geometry-optimized SrTaPt3 structure. Source: Alexandria, functional PBE.

```
data_SrTaPt3
_space_group_name_H-M_alt 'P m -3 m'
_space_group_IT_number 221
_space_group_name_Hall '-P 4 2 3'
_cell_length_a 4.9979
_cell_length_b 4.9979
_cell_length_c 4.9979
_cell_angle_alpha 90.00
_cell_angle_beta 90.00
_cell_angle_gamma 90.00
loop_
_atom_site_label
_atom_site_type_symbol
_atom_site_fract_x
_atom_site_fract_y
_atom_site_fract_z
_atom_site_occupancy
Sr1 Sr 0.0000 0.0000 0.0000 1
Ta1 Ta 0.5000 0.5000 0.5000 1
Pt1 Pt 0.0000 0.0000 0.5000 1
```

Values from the calculation:
energy = -4.389 eV per atom
DFT formation energy = 9.71 eV per formula unit
calculated volume = 24.97 Å³/atom

Record 2
A geometry-optimized Pr3TiN4 structure. Source: Alexandria, functional PBE.

```
data_Pr3TiN4
_space_group_name_H-M_alt 'P m n 21'
_space_group_IT_number 31
_cell_length_a 7.8536
_cell_length_b 6.9520
_cell_length_c 5.3553
_cell_angle_alpha 90.00
_cell_angle_beta 90.00
_cell_angle_gamma 90.00
loop_
_space_group_symop_operation_xyz
'x,y,z'
'-x+1/2,-y,z+1/2'
'-x,y,z'
'x+1/2,-y,z+1/2'
loop_
_atom_site_label
_atom_site_type_symbol
_atom_site_fract_x
_atom_site_fract_y
_atom_site_fract_z
_atom_site_occupancy
Pr1 Pr 0.0000 0.1440 0.0000 1
Pr2 Pr 0.2457 0.3322 0.5014 1
Ti1 Ti 0.0000 0.8243 0.4614 1
N1 N 0.0000 0.1100 0.5118 1
N2 N 0.0000 0.8190 0.1052 1
N3 N 0.2211 0.6881 0.5201 1
```

Values from the calculation:
formation energy without anion corrections = -1.28 eV/atom
energy = -8.226 eV per atom
calculated volume = 18.27 Å³/atom

Record 3
A geometry-optimized HfNbN structure. Source: Alexandria, functional PBE.

```
data_HfNbN
_space_group_name_H-M_alt 'P 4/n m m'
_space_group_IT_number 129
_cell_length_a 3.2948
_cell_length_b 3.2948
_cell_length_c 7.8849
_cell_angle_alpha 90.00
_cell_angle_beta 90.00
_cell_angle_gamma 90.00
loop_
_space_group_symop_operation_xyz
'x,y,z'
'-x,-y,-z'
'-y+1/2,x,z'
'y+1/2,-x,-z'
'-x+1/2,-y+1/2,z'
'x+1/2,y+1/2,-z'
'y,-x+1/2,z'
'-y,x+1/2,-z'
'x+1/2,-y,-z'
'-x+1/2,y,z'
'-y,-x,-z'
'y,x,z'
'-x,y+1/2,-z'
'x,-y+1/2,z'
'y+1/2,x+1/2,-z'
'-y+1/2,-x+1/2,z'
loop_
_atom_site_label
_atom_site_type_symbol
_atom_site_fract_x
_atom_site_fract_y
_atom_site_fract_z
_atom_site_occupancy
Hf1 Hf 0.2500 0.2500 0.1446 1
Nb1 Nb 0.2500 0.2500 0.5873 1
N1 N 0.2500 0.2500 0.8672 1
```

Values from the calculation:
formation energy without anion corrections = -1.12 eV/atom
energy = -10.574 eV per atom
calculated volume = 14.27 Å³/atom

Record 4
A geometry-optimized LiHgCl2 structure. Source: Alexandria, functional PBE.

```
data_LiHgCl2
_space_group_name_H-M_alt 'C 1 2/m 1'
_space_group_IT_number 12
_cell_length_a 7.1245
_cell_length_b 3.5089
_cell_length_c 7.3993
_cell_angle_alpha 90.00
_cell_angle_beta 96.96
_cell_angle_gamma 90.00
loop_
_space_group_symop_operation_xyz
'x,y,z'
'-x,-y,-z'
'-x,y,-z'
'x,-y,z'
'x+1/2,y+1/2,z'
'-x+1/2,-y+1/2,-z'
'-x+1/2,y+1/2,-z'
'x+1/2,-y+1/2,z'
loop_
_atom_site_label
_atom_site_type_symbol
_atom_site_fract_x
_atom_site_fract_y
_atom_site_fract_z
_atom_site_occupancy
Li1 Li 0.0000 0.0000 0.0000 1
Hg1 Hg 0.0000 0.5000 0.5000 1
Cl1 Cl 0.1774 0.5000 0.1906 1
```

Values from the calculation:
formation energy without anion corrections = -0.92 eV/atom
energy = -2.402 eV per atom
calculated volume = 22.95 Å³/atom

Record 5
A geometry-optimized NaHf2MgO structure. Source: Alexandria, functional PBE.

```
data_NaHf2MgO
_space_group_name_H-M_alt 'P 4/m m m'
_space_group_IT_number 123
_space_group_name_Hall '-P 4 2'
_cell_length_a 5.0502
_cell_length_b 5.0502
_cell_length_c 4.7436
_cell_angle_alpha 90.00
_cell_angle_beta 90.00
_cell_angle_gamma 90.00
loop_
_atom_site_label
_atom_site_type_symbol
_atom_site_fract_x
_atom_site_fract_y
_atom_site_fract_z
_atom_site_occupancy
Na1 Na 0.0000 0.0000 0.0000 1
Hf1 Hf 0.0000 0.5000 0.0000 1
Mg1 Mg 0.0000 0.0000 0.5000 1
O1 O 0.5000 0.5000 0.5000 1
```

Values from the calculation:
formation energy without anion corrections = 1.82 eV/atom
energy = -3.732 eV per atom
calculated volume = 24.20 Å³/atom

Record 6
A geometry-optimized PaP2Ir2Ru structure. Source: Alexandria, functional PBE.

```
data_PaP2Ir2Ru
_space_group_name_H-M_alt 'P m c 21'
_space_group_IT_number 26
_cell_length_a 3.8678
_cell_length_b 6.7163
_cell_length_c 7.5444
_cell_angle_alpha 90.00
_cell_angle_beta 90.00
_cell_angle_gamma 90.00
loop_
_space_group_symop_operation_xyz
'x,y,z'
'-x,-y,z+1/2'
'-x,y,z'
'x,-y,z+1/2'
loop_
_atom_site_label
_atom_site_type_symbol
_atom_site_fract_x
_atom_site_fract_y
_atom_site_fract_z
_atom_site_occupancy
Pa1 Pa 0.0000 0.1438 0.0000 1
P1 P 0.0000 0.3613 0.2942 1
P2 P 0.5000 0.1363 0.6936 1
Ir1 Ir 0.0000 0.3437 0.6001 1
Ir2 Ir 0.5000 0.4386 0.8580 1
Ru1 Ru 0.5000 0.1468 0.3713 1
```

Values from the calculation:
energy = -8.603 eV per atom
DFT formation energy = -4.30 eV per formula unit
calculated volume = 16.33 Å³/atom

Record 7
A geometry-optimized RbTb4NdS8 structure. Source: Alexandria, functional PBE.

```
data_RbTb4NdS8
_space_group_name_H-M_alt 'R 3 m'
_space_group_IT_number 160
_space_group_name_Hall 'R 3 -2"'
_cell_length_a 8.2996
_cell_length_b 8.2996
_cell_length_c 20.7284
_cell_angle_alpha 90.00
_cell_angle_beta 90.00
_cell_angle_gamma 120.00
loop_
_atom_site_label
_atom_site_type_symbol
_atom_site_fract_x
_atom_site_fract_y
_atom_site_fract_z
_atom_site_occupancy
Rb1 Rb 0.0000 0.0000 0.0000 1
Tb1 Tb 0.0000 0.0000 0.2542 1
Tb2 Tb 0.1723 0.3446 0.4605 1
Nd1 Nd 0.0000 0.0000 0.6333 1
S1 S 0.0000 0.0000 0.3856 1
S2 S 0.0000 0.0000 0.8586 1
S3 S 0.0453 0.5226 0.3878 1
S4 S 0.1743 0.3487 0.2084 1
```

Values from the calculation:
formation energy without anion corrections = -1.90 eV/atom
energy = -5.989 eV per atom
calculated volume = 29.44 Å³/atom

Record 8
A geometry-optimized Ti2GaN structure. Source: Alexandria, functional PBE.

```
data_Ti2GaN
_space_group_name_H-M_alt 'I -4 2 d'
_space_group_IT_number 122
_space_group_name_Hall 'I -4 2bw'
_cell_length_a 6.0846
_cell_length_b 6.0846
_cell_length_c 6.3081
_cell_angle_alpha 90.00
_cell_angle_beta 90.00
_cell_angle_gamma 90.00
loop_
_atom_site_label
_atom_site_type_symbol
_atom_site_fract_x
_atom_site_fract_y
_atom_site_fract_z
_atom_site_occupancy
Ti1 Ti 0.1635 0.2500 0.1250 1
Ga1 Ga 0.0000 0.0000 0.5000 1
N1 N 0.0000 0.0000 0.0000 1
```

Values from the calculation:
formation energy without anion corrections = -0.66 eV/atom
energy = -7.446 eV per atom
calculated volume = 14.60 Å³/atom

Record 9
A geometry-optimized Te3OsCl structure. Source: Alexandria, functional PBE.

```
data_Te3OsCl
_space_group_name_H-M_alt 'P m -3 m'
_space_group_IT_number 221
_space_group_name_Hall '-P 4 2 3'
_cell_length_a 5.2591
_cell_length_b 5.2591
_cell_length_c 5.2591
_cell_angle_alpha 90.00
_cell_angle_beta 90.00
_cell_angle_gamma 90.00
loop_
_atom_site_label
_atom_site_type_symbol
_atom_site_fract_x
_atom_site_fract_y
_atom_site_fract_z
_atom_site_occupancy
Te1 Te 0.0000 0.0000 0.5000 1
Os1 Os 0.0000 0.0000 0.0000 1
Cl1 Cl 0.5000 0.5000 0.5000 1
```

Values from the calculation:
formation energy without anion corrections = 0.57 eV/atom
energy = -3.930 eV per atom
calculated volume = 29.09 Å³/atom

Record 10
A geometry-optimized GdPaTlAg structure. Source: Alexandria, functional PBE.

```
data_GdPaTlAg
_space_group_name_H-M_alt 'F -4 3 m'
_space_group_IT_number 216
_space_group_name_Hall 'F -4 2 3'
_cell_length_a 7.4838
_cell_length_b 7.4838
_cell_length_c 7.4838
_cell_angle_alpha 90.00
_cell_angle_beta 90.00
_cell_angle_gamma 90.00
loop_
_atom_site_label
_atom_site_type_symbol
_atom_site_fract_x
_atom_site_fract_y
_atom_site_fract_z
_atom_site_occupancy
Gd1 Gd 0.0000 0.0000 0.0000 1
Pa1 Pa 0.0000 0.0000 0.5000 1
Tl1 Tl 0.2500 0.2500 0.7500 1
Ag1 Ag 0.2500 0.2500 0.2500 1
```

Values from the calculation:
energy = -7.122 eV per atom
DFT formation energy = 0.31 eV per formula unit
calculated volume = 26.20 Å³/atom

Record 11
A geometry-optimized CaTeCl2 structure. Source: Alexandria, functional PBE.

```
data_CaTeCl2
_space_group_name_H-M_alt 'P 4 m m'
_space_group_IT_number 99
_cell_length_a 3.7833
_cell_length_b 3.7833
_cell_length_c 7.4084
_cell_angle_alpha 90.00
_cell_angle_beta 90.00
_cell_angle_gamma 90.00
loop_
_space_group_symop_operation_xyz
'x,y,z'
'-y,x,z'
'-x,-y,z'
'y,-x,z'
'-x,y,z'
'y,x,z'
'x,-y,z'
'-y,-x,z'
loop_
_atom_site_label
_atom_site_type_symbol
_atom_site_fract_x
_atom_site_fract_y
_atom_site_fract_z
_atom_site_occupancy
Ca1 Ca 0.0000 0.0000 0.0000 1
Te1 Te 0.5000 0.5000 0.6315 1
Cl1 Cl 0.0000 0.0000 0.3719 1
Cl2 Cl 0.5000 0.5000 0.0956 1
```

Values from the calculation:
formation energy without anion corrections = -1.09 eV/atom
energy = -3.300 eV per atom
calculated volume = 26.51 Å³/atom

Record 12
A geometry-optimized Ce2DyP structure. Source: Alexandria, functional PBE.

```
data_Ce2DyP
_space_group_name_H-M_alt 'R 3 m'
_space_group_IT_number 160
_space_group_name_Hall 'R 3 -2"'
_cell_length_a 3.7979
_cell_length_b 3.7979
_cell_length_c 27.7916
_cell_angle_alpha 90.00
_cell_angle_beta 90.00
_cell_angle_gamma 120.00
loop_
_atom_site_label
_atom_site_type_symbol
_atom_site_fract_x
_atom_site_fract_y
_atom_site_fract_z
_atom_site_occupancy
Ce1 Ce 0.0000 0.0000 0.0000 1
Ce2 Ce 0.0000 0.0000 0.2076 1
Dy1 Dy 0.0000 0.0000 0.7698 1
P1 P 0.0000 0.0000 0.6037 1
```

Values from the calculation:
energy = -6.022 eV per atom
DFT formation energy = -2.21 eV per formula unit
calculated volume = 28.93 Å³/atom